VASP calculation (PBE-GGA) on an optimized crystal structure of Ba2SnSb3Pd4.

DOS at the Fermi energy   6.01 states/eV/f.u.
Total magnetic moment   0.0 μB per cell
VASP energy   -4.887 eV per atom
V   24.940 Å³/atom
ΔE_f (raw)   -0.788 eV/atom

Geometry as POSCAR:
```
Ba2SnSb3Pd4
1.0
4.767 0.000 0.000
0.000 4.767 0.000
0.000 0.000 10.974
Ba Sn Sb Pd
2 1 3 4
Direct
0.000 0.500 0.243 Ba
0.500 0.000 0.757 Ba
0.000 0.000 0.500 Sn
0.000 0.500 0.877 Sb
0.500 0.000 0.123 Sb
0.500 0.500 0.500 Sb
0.000 0.000 0.000 Pd
0.000 0.500 0.627 Pd
0.500 0.000 0.373 Pd
0.500 0.500 0.000 Pd
```